1.
# YFe2Se (PBE, relaxed)
# Space-group type: P4mm, No. 99
# Energy, eV/atom: -6.9997
# ΔE_f (raw), meV/atom: -281
data_YFe2Se
_space_group_name_H-M_alt 'P 1'
_space_group_IT_number 1
_space_group_name_Hall 'P 1'
_cell_length_a 3.629
_cell_length_b 3.631
_cell_length_c 5.565
_cell_angle_alpha 89.98
_cell_angle_beta 90.00
_cell_angle_gamma 90.00
loop_
_atom_site_label
_atom_site_type_symbol
_atom_site_fract_x
_atom_site_fract_y
_atom_site_fract_z
Fe1 Fe 0.500 0.375 0.155
Fe2 Fe 0.000 0.875 0.155
Y1 Y 0.500 0.875 0.713
Se1 Se 0.000 0.375 0.477

***

2.
# Li11Ac (PBE, relaxed)
# Space-group type: I4_1/amd, No. 141
# Energy, eV/atom: -2.0514
# ΔH_f (0 K), eV/atom: 0.045
data_Li11Ac
_space_group_name_H-M_alt 'P 1'
_space_group_IT_number 1
_space_group_name_Hall 'P 1'
_cell_length_a 7.851
_cell_length_b 9.211
_cell_length_c 9.211
_cell_angle_alpha 79.54
_cell_angle_beta 64.78
_cell_angle_gamma 64.78
loop_
_atom_site_label
_atom_site_type_symbol
_atom_site_fract_x
_atom_site_fract_y
_atom_site_fract_z
Li1 Li 0.012 0.916 0.671
Li2 Li 0.000 0.000 0.000
Li3 Li 0.072 0.329 0.916
Li4 Li 0.750 0.500 0.500
Li5 Li 0.678 0.584 0.171
Li6 Li 0.375 0.750 0.750
Li7 Li 0.738 0.584 0.829
Li8 Li 0.875 0.750 0.250
Li9 Li 0.317 0.084 0.671
Li10 Li 0.599 0.084 0.329
Li11 Li 0.738 0.829 0.584
Li12 Li 0.433 0.829 0.416
Li13 Li 0.678 0.171 0.584
Li14 Li 0.072 0.916 0.329
Li15 Li 0.875 0.250 0.250
Li16 Li 0.317 0.671 0.084
Li17 Li 0.599 0.329 0.084
Li18 Li 0.012 0.671 0.916
Li19 Li 0.875 0.250 0.750
Li20 Li 0.433 0.416 0.829
Li21 Li 0.151 0.171 0.416
Li22 Li 0.151 0.416 0.171
Ac1 Ac 0.500 0.000 0.000
Ac2 Ac 0.250 0.500 0.500

***

3.
# Pr3Tl (PBE, relaxed)
# Space-group type: Pmm2, No. 25
# Offset from the most stable computed form, meV/atom: 233
# Energy, eV/atom: -4.1530
# ΔH_f (0 K), eV/atom: 0.023
data_Pr3Tl
_space_group_name_H-M_alt 'P 1'
_space_group_IT_number 1
_space_group_name_Hall 'P 1'
_cell_length_a 3.564
_cell_length_b 3.638
_cell_length_c 10.869
_cell_angle_alpha 90.00
_cell_angle_beta 90.00
_cell_angle_gamma 90.00
loop_
_atom_site_label
_atom_site_type_symbol
_atom_site_fract_x
_atom_site_fract_y
_atom_site_fract_z
Tl1 Tl 0.000 0.000 0.974
Pr1 Pr 0.500 0.000 0.717
Pr2 Pr 0.500 0.500 0.176
Pr3 Pr 0.000 0.500 0.467

***

4.
# Pu3Ge7Rh2 (PBE, relaxed)
# Space-group type: P2/m, No. 10
# Energy, eV/atom: -7.8724
# ΔH_f (0 K), eV/atom: -0.371
data_Pu3Ge7Rh2
_space_group_name_H-M_alt 'P 1'
_space_group_IT_number 1
_space_group_name_Hall 'P 1'
_cell_length_a 4.234
_cell_length_b 4.242
_cell_length_c 13.071
_cell_angle_alpha 80.68
_cell_angle_beta 90.00
_cell_angle_gamma 90.00
loop_
_atom_site_label
_atom_site_type_symbol
_atom_site_fract_x
_atom_site_fract_y
_atom_site_fract_z
Pu1 Pu 0.000 0.183 0.633
Pu2 Pu 0.500 0.500 0.000
Pu3 Pu 0.000 0.817 0.367
Ge1 Ge 0.500 0.919 0.162
Ge2 Ge 0.500 0.081 0.838
Ge3 Ge 0.000 0.000 0.000
Ge4 Ge 0.500 0.723 0.555
Ge5 Ge 0.500 0.277 0.445
Ge6 Ge 0.000 0.581 0.837
Ge7 Ge 0.000 0.419 0.163
Rh1 Rh 0.500 0.628 0.744
Rh2 Rh 0.500 0.372 0.256

***

5.
# MgGa6Ni (PBE, relaxed)
# Space-group type: R-3m, No. 166
# Energy, eV/atom: -3.2970
# ΔH_f (0 K), eV/atom: -0.105
data_MgGa6Ni
_space_group_name_H-M_alt 'P 1'
_space_group_IT_number 1
_space_group_name_Hall 'P 1'
_cell_length_a 5.472
_cell_length_b 5.472
_cell_length_c 5.472
_cell_angle_alpha 102.92
_cell_angle_beta 102.92
_cell_angle_gamma 102.92
loop_
_atom_site_label
_atom_site_type_symbol
_atom_site_fract_x
_atom_site_fract_y
_atom_site_fract_z
Mg1 Mg 0.000 0.000 0.000
Ga1 Ga 0.795 0.795 0.373
Ga2 Ga 0.205 0.627 0.205
Ga3 Ga 0.795 0.373 0.795
Ga4 Ga 0.205 0.205 0.627
Ga5 Ga 0.627 0.205 0.205
Ga6 Ga 0.373 0.795 0.795
Ni1 Ni 0.500 0.500 0.500

***

6.
# FeCo2Mo (PBE, relaxed)
# Space-group type: C2/m, No. 12
# Offset from the most stable computed form, meV/atom: 124
# Energy, eV/atom: -8.2367
# ΔH_f (0 K), eV/atom: 0.140
data_FeCo2Mo
_space_group_name_H-M_alt 'P 1'
_space_group_IT_number 1
_space_group_name_Hall 'P 1'
_cell_length_a 4.458
_cell_length_b 4.458
_cell_length_c 4.438
_cell_angle_alpha 79.85
_cell_angle_beta 79.85
_cell_angle_gamma 34.15
loop_
_atom_site_label
_atom_site_type_symbol
_atom_site_fract_x
_atom_site_fract_y
_atom_site_fract_z
Mo1 Mo 0.250 0.250 0.250
Co1 Co 0.006 0.006 0.987
Co2 Co 0.494 0.494 0.513
Fe1 Fe 0.750 0.750 0.750

***

7.
# RbNpAuO6 (PBE, relaxed)
# Space-group type: Imma, No. 74
# Energy, eV/atom: -6.7033
# ΔE_f (raw), meV/atom: -1488
data_RbNpAuO6
_space_group_name_H-M_alt 'P 1'
_space_group_IT_number 1
_space_group_name_Hall 'P 1'
_cell_length_a 7.300
_cell_length_b 7.971
_cell_length_c 7.676
_cell_angle_alpha 121.28
_cell_angle_beta 118.39
_cell_angle_gamma 90.00
loop_
_atom_site_label
_atom_site_type_symbol
_atom_site_fract_x
_atom_site_fract_y
_atom_site_fract_z
Np1 Np 0.500 0.000 0.000
Np2 Np 0.500 0.500 0.000
O1 O 0.418 0.678 0.231
O2 O 0.582 0.322 0.769
O3 O 0.418 0.054 0.231
O4 O 0.813 0.678 0.231
O5 O 0.433 0.683 0.865
O6 O 0.172 0.922 0.344
O7 O 0.187 0.322 0.769
O8 O 0.828 0.078 0.656
O9 O 0.567 0.317 0.135
O10 O 0.582 0.946 0.769
O11 O 0.187 0.946 0.769
O12 O 0.813 0.054 0.231
Rb1 Rb 0.098 0.348 0.196
Rb2 Rb 0.902 0.652 0.804
Au1 Au 0.000 0.000 0.500
Au2 Au 0.500 0.000 0.500

***

8.
# Ca6Ag2P (PBE, relaxed)
# Space-group type: P2_1/c, No. 14
# Energy, eV/atom: -2.9981
# ΔH_f (0 K), eV/atom: -0.429
data_Ca6Ag2P
_space_group_name_H-M_alt 'P 1'
_space_group_IT_number 1
_space_group_name_Hall 'P 1'
_cell_length_a 7.018
_cell_length_b 8.036
_cell_length_c 10.294
_cell_angle_alpha 90.00
_cell_angle_beta 90.02
_cell_angle_gamma 90.00
loop_
_atom_site_label
_atom_site_type_symbol
_atom_site_fract_x
_atom_site_fract_y
_atom_site_fract_z
Ca1 Ca 0.667 0.176 0.439
Ca2 Ca 0.366 0.535 0.253
Ca3 Ca 0.157 0.313 0.561
Ca4 Ca 0.333 0.824 0.561
Ca5 Ca 0.343 0.813 0.939
Ca6 Ca 0.843 0.687 0.439
Ca7 Ca 0.833 0.676 0.061
Ca8 Ca 0.134 0.035 0.247
Ca9 Ca 0.634 0.465 0.747
Ca10 Ca 0.167 0.324 0.939
Ca11 Ca 0.866 0.965 0.753
Ca12 Ca 0.657 0.187 0.061
Ag1 Ag 0.951 0.388 0.250
Ag2 Ag 0.451 0.112 0.750
Ag3 Ag 0.549 0.888 0.250
Ag4 Ag 0.049 0.612 0.750
P1 P 0.000 0.000 0.500
P2 P 0.500 0.500 0.000

***

Which of these has the lowest energy?
FeCo2Mo